Record 1
Computed, not measured: an optimized crystal structure of NdZn2GaAu at the GGA-PBE level of DFT.

Structure (POSCAR):
```
NdZn2GaAu
1.0
-2.1705 2.1738 5.2748
2.1705 -2.1738 5.2748
2.1705 2.1738 -5.2748
Nd Zn Ga Au
1 2 1 1
direct
0.0000 0.0000 0.0000
0.6181 0.6181 0.0000
0.7512 0.2512 0.5000
0.3873 0.3873 0.0000
0.2524 0.7524 0.5000
```

volume	100	Å³/cell
total energy	-3.212	eV per atom
ΔE_f	-47.1	kJ per mole of atoms

---

Record 2
Computed, not measured: an optimized crystal structure of LaTi2PRu at the GGA-PBE level of DFT.

Structure (POSCAR):
```
LaTi2PRu
1.0
4.7383 0.0000 0.0000
0.0000 4.7383 0.0000
0.0000 0.0000 5.0391
La Ti P Ru
1 2 1 1
direct
0.0000 0.0000 0.0000
0.0000 0.5000 0.0000
0.5000 0.0000 0.0000
0.0000 0.0000 0.5000
0.5000 0.5000 0.5000
```

volume	113	Å³/cell
total energy	-5.241	eV per atom
ΔE_f	177.5	kJ per mole of atoms